Entry from Alexandria via LeMat-Bulk: a geometry-optimized Ac6NiOs2I3 structure (GGA-PBE).

**SG**: C2/m
**Raw formation energy**: -668 meV per atom
**Raw total energy**: -65.557 eV per cell

CIF file:
```
data_Ac6NiOs2I3
_chemical_formula_sum 'Ac6 Ni1 Os2 I3'
_cell_length_a 7.560
_cell_length_b 7.560
_cell_length_c 9.000
_cell_angle_alpha 98.04
_cell_angle_beta 98.04
_cell_angle_gamma 120.00
_symmetry_space_group_name_H-M 'P 1'
_symmetry_Int_Tables_number 1
loop_
_symmetry_equiv_pos_as_xyz
'x,y,z'
loop_
_atom_site_label
_atom_site_fract_x
_atom_site_fract_y
_atom_site_fract_z
Ac1 0.939 0.599 0.816
Ac2 0.722 0.722 0.184
Ac3 0.061 0.401 0.184
Ac4 0.599 0.939 0.816
Ac5 0.278 0.278 0.816
Ac6 0.401 0.061 0.184
Ni1 0.000 0.000 0.000
Os1 0.333 0.667 0.000
Os2 0.667 0.333 0.000
I1 0.168 0.832 0.500
I2 0.832 0.168 0.500
I3 0.500 0.500 0.500
```



Entry from Alexandria via LeMat-Bulk: a geometry-optimized Ac6Ni2OsI3 structure (GGA-PBE).

**SG**: C2/m
**Raw formation energy**: -718 meV per atom
**Raw total energy**: -60.707 eV per cell

CIF file:
```
data_Ac6Ni2OsI3
_chemical_formula_sum 'Ac6 Ni2 Os1 I3'
_cell_length_a 7.543
_cell_length_b 7.543
_cell_length_c 9.004
_cell_angle_alpha 98.03
_cell_angle_beta 98.03
_cell_angle_gamma 120.01
_symmetry_space_group_name_H-M 'P 1'
_symmetry_Int_Tables_number 1
loop_
_symmetry_equiv_pos_as_xyz
'x,y,z'
loop_
_atom_site_label
_atom_site_fract_x
_atom_site_fract_y
_atom_site_fract_z
Ac1 0.939 0.609 0.816
Ac2 0.732 0.732 0.184
Ac3 0.061 0.391 0.184
Ac4 0.609 0.939 0.816
Ac5 0.268 0.268 0.816
Ac6 0.391 0.061 0.184
Ni1 0.333 0.667 0.000
Ni2 0.667 0.333 0.000
Os1 0.000 0.000 0.000
I1 0.166 0.834 0.500
I2 0.834 0.166 0.500
I3 0.500 0.500 0.500
```



Entry from Alexandria via LeMat-Bulk: a geometry-optimized Ac6Ni2PI3 structure (GGA-PBE).

**SG**: C2/m
**Raw formation energy**: -875 meV per atom
**Raw total energy**: -56.778 eV per cell

CIF file:
```
data_Ac6Ni2PI3
_chemical_formula_sum 'Ac6 Ni2 P1 I3'
_cell_length_a 7.676
_cell_length_b 7.676
_cell_length_c 8.761
_cell_angle_alpha 98.37
_cell_angle_beta 98.37
_cell_angle_gamma 120.07
_symmetry_space_group_name_H-M 'P 1'
_symmetry_Int_Tables_number 1
loop_
_symmetry_equiv_pos_as_xyz
'x,y,z'
loop_
_atom_site_label
_atom_site_fract_x
_atom_site_fract_y
_atom_site_fract_z
Ac1 0.936 0.592 0.813
Ac2 0.718 0.718 0.187
Ac3 0.064 0.408 0.187
Ac4 0.592 0.936 0.813
Ac5 0.282 0.282 0.813
Ac6 0.408 0.064 0.187
Ni1 0.333 0.667 0.000
Ni2 0.667 0.333 0.000
P1 0.000 0.000 0.000
I1 0.163 0.837 0.500
I2 0.837 0.163 0.500
I3 0.500 0.500 0.500
```



Entry from Alexandria via LeMat-Bulk: a geometry-optimized Ac8Ni3PI4 structure (GGA-PBE).

**SG**: R-3m
**Raw formation energy**: -826 meV per atom
**Raw total energy**: -75.034 eV per cell

CIF file:
```
data_Ac8Ni3PI4
_chemical_formula_sum 'Ac8 Ni3 P1 I4'
_cell_length_a 8.811
_cell_length_b 9.899
_cell_length_c 8.814
_cell_angle_alpha 116.47
_cell_angle_beta 119.99
_cell_angle_gamma 90.00
_symmetry_space_group_name_H-M 'P 1'
_symmetry_Int_Tables_number 1
loop_
_symmetry_equiv_pos_as_xyz
'x,y,z'
loop_
_atom_site_label
_atom_site_fract_x
_atom_site_fract_y
_atom_site_fract_z
Ac1 0.234 0.688 0.955
Ac2 0.234 0.688 0.467
Ac3 0.272 0.317 0.545
Ac4 0.721 0.688 0.955
Ac5 0.279 0.312 0.045
Ac6 0.728 0.683 0.455
Ac7 0.766 0.312 0.533
Ac8 0.766 0.312 0.045
Ni1 0.500 0.500 0.000
Ni2 0.500 0.500 0.500
Ni3 0.000 0.500 0.500
P1 0.000 0.500 0.000
I1 0.500 0.000 0.000
I2 0.500 0.000 0.500
I3 0.000 0.000 0.000
I4 0.000 0.000 0.500
```



Question: Look up the raw total energy of the first one.
Answer: -65.557 eV per cell



Question: Look up the raw total energy of the first one.
Answer: -65.557 eV per cell



Question: What is the raw total energy in the first record?
Answer: -65.557 eV per cell



Question: Look up the raw formation energy of the first one.
Answer: -668 meV per atom